[1]
CrFeRh2 at its PBEsol-relaxed geometry, computed with meta-GGA SCAN.

ΔH_f (0 K) ... -0.182 eV per atom
Symmetry ... No. 47
M_tot ... 1.351 μB/f.u.

abc: 2.625 3.579 5.277
angles: 90.00 90.00 90.00
Positions (direct):
Cr (0.000, 0.000, 0.000)
Fe (0.000, 0.000, 0.500)
Rh (0.500, 0.500, 0.249)
Rh (0.500, 0.500, 0.751)


[2]
Cu2TePt at its PBEsol-relaxed geometry, computed with meta-GGA SCAN.

Symmetry ... No. 47
E_form (uncorrected) ... 0.308 eV/f.u.
M_tot ... 0.000 μB/f.u.

abc: 2.863 3.498 6.583
angles: 90.00 90.00 90.00
Positions (direct):
Cu (0.000, 0.000, 0.196)
Cu (0.000, 0.000, 0.804)
Te (0.000, 0.500, 0.500)
Pt (0.500, 0.500, 0.000)


[3]
SrLiTl at its PBEsol-relaxed geometry, computed with meta-GGA SCAN.

ΔH_f (0 K) ... -0.415 eV per atom
Symmetry ... No. 187
M_tot ... 0.000 μB/f.u.
Relative energy among the computed polymorphs ... 0.0 meV/atom

abc: 5.012 5.012 4.008
angles: 90.00 90.00 120.00
Positions (direct):
Sr (0.000, 0.000, 0.000)
Li (0.333, 0.667, 0.500)
Tl (0.667, 0.333, 0.500)


no.,N(E_F) (states/eV per cell),mass density (g/cm3)
1,3.0,10.50
2,1.8,11.33
3,2.7,5.69